1.
Here is a geometry-optimized Nd4Ag2Sn structure from the Alexandria database. Energies are from PBE-GGA.

Output
* energy relative to the lowest polymorph listed for this composition: 0.0405 eV/atom
* space-group type: R-3m (166)
* density: 7.33 g cm⁻³

Cell and atoms, written as POSCAR:
```
Nd4Ag2Sn
1.0
-2.662 4.251 1.741
-5.305 -0.079 0.175
-2.350 -1.647 8.522
Nd Ag Sn
4 2 1
direct
0.385 0.385 0.846 Nd
0.615 0.615 0.154 Nd
0.869 0.869 0.392 Nd
0.131 0.131 0.608 Nd
0.256 0.256 0.231 Ag
0.744 0.744 0.769 Ag
0.000 0.000 0.000 Sn
```

***

2.
Here is a geometry-optimized Nd2Ag3Sn structure from the Alexandria database. Energies are from PBE-GGA.

Output
* total DFT energy (no corrections): -48.872 eV per cell
* space-group type: Fmmm (69)
* density: 8.12 g cm⁻³

Cell and atoms, written as POSCAR:
```
Nd2Ag3Sn
1.0
-1.232 -3.288 -4.959
4.488 1.192 -3.919
2.818 -5.359 7.582
Ag Nd Sn
6 4 2
direct
0.331 0.331 0.165 Ag
0.166 0.166 0.835 Ag
0.834 0.834 0.165 Ag
0.669 0.669 0.835 Ag
0.833 0.833 0.666 Ag
0.167 0.167 0.334 Ag
0.250 0.750 0.500 Nd
0.750 0.250 0.500 Nd
0.762 0.238 0.000 Nd
0.238 0.762 0.000 Nd
0.664 0.664 0.329 Sn
0.336 0.336 0.671 Sn
```

***

3.
Here is a geometry-optimized Nd6Ag2Sn structure from the Alexandria database. Energies are from PBE-GGA.

Output
* total DFT energy (no corrections): -81.101 eV per cell
* space-group type: Immm (71)
* density: 7.20 g cm⁻³

Cell and atoms, written as POSCAR:
```
Nd6Ag2Sn
1.0
8.958 0.143 0.067
-3.261 8.344 -0.067
-2.991 -4.148 7.356
Nd Ag Sn
12 4 2
direct
0.088 0.271 0.817 Nd
0.912 0.729 0.183 Nd
0.201 0.245 0.446 Nd
0.720 0.397 0.677 Nd
0.720 0.044 0.323 Nd
0.454 0.271 0.183 Nd
0.799 0.755 0.554 Nd
0.799 0.245 0.045 Nd
0.280 0.956 0.677 Nd
0.280 0.603 0.323 Nd
0.201 0.755 0.955 Nd
0.546 0.729 0.817 Nd
0.361 0.000 0.361 Ag
0.639 0.000 0.639 Ag
0.500 0.631 0.131 Ag
0.500 0.369 0.869 Ag
0.000 0.000 0.000 Sn
0.000 0.500 0.500 Sn
```

***

4.
Here is a geometry-optimized Nd2AgSn4 structure from the Alexandria database. Energies are from PBE-GGA.

Output
* total DFT energy (no corrections): -31.436 eV per cell
* space-group type: P-4m2 (115)
* density: 7.44 g cm⁻³

Cell and atoms, written as POSCAR:
```
Nd2AgSn4
1.0
-3.983 1.230 -1.894
-2.229 -2.755 2.899
-0.730 6.974 6.066
Nd Sn Ag
2 4 1
direct
0.000 0.500 0.224 Nd
0.500 0.000 0.776 Nd
0.500 0.000 0.186 Sn
0.000 0.000 0.500 Sn
0.000 0.500 0.814 Sn
0.500 0.500 0.500 Sn
0.500 0.500 0.000 Ag
```

***

- Which formula does entry 3 have?
  Nd6Ag2Sn

***

- Which of these has the lowest density?
  Nd6Ag2Sn

***

- The highest density belongs to which entry?
  Nd2Ag3Sn